Ca3Cd2 after structural relaxation, computed with PBE-GGA.

Lattice parameters (Å, degrees): 7.3141 7.3141 22.3616 90.00 90.00 120.00
Space group R-3c (No. 167, hexagonal axes)
One atom of each set of equivalent atoms:
1 Ca 0.0000 0.4053 0.2500 (multiplicity 18)
2 Cd 0.0000 0.0000 0.1857 (multiplicity 12)

Summary:
DFT formation energy = -0.156 eV/atom